1.
Here is an optimized crystal structure of Sr2MoRh from Alexandria via LeMat-Bulk. Energies are from PBE.

Offset from the most stable computed form, meV/atom: 659
Energy relative to the elements, eV/atom: 0.81
VASP energy, eV per cell: -36.6

```
data_Sr2MoRh
_symmetry_space_group_name_H-M 'I -4 m 2'
_symmetry_Int_Tables_number 119
_symmetry_space_group_name_Hall 'I -4 -2'
_cell_length_a 5.1741
_cell_length_b 5.1741
_cell_length_c 7.4277
_cell_angle_alpha 90.00
_cell_angle_beta 90.00
_cell_angle_gamma 90.00
loop_
_atom_site_label
_atom_site_type_symbol
_atom_site_fract_x
_atom_site_fract_y
_atom_site_fract_z
Sr1 Sr 0.0000 0.0000 0.0000
Sr2 Sr 0.0000 0.5000 0.2500
Mo1 Mo 0.0000 0.5000 0.7500
Rh1 Rh 0.0000 0.0000 0.5000
```



2.
Here is an optimized crystal structure of ErPu2Mn3 from Alexandria via LeMat-Bulk. Energies are from PBE.

Energy relative to the elements, eV/atom: 0.17
VASP energy, eV per cell: -238.8

```
data_ErPu2Mn3
_symmetry_space_group_name_H-M 'C m c m'
_symmetry_Int_Tables_number 63
_symmetry_space_group_name_Hall '-C 2c 2'
_cell_length_a 9.2719
_cell_length_b 7.7470
_cell_length_c 6.2506
_cell_angle_alpha 90.00
_cell_angle_beta 90.00
_cell_angle_gamma 90.00
loop_
_atom_site_label
_atom_site_type_symbol
_atom_site_fract_x
_atom_site_fract_y
_atom_site_fract_z
Er1 Er 0.0000 0.1947 0.2500
Pu1 Pu 0.2178 0.5000 0.0000
Mn1 Mn 0.0000 0.4215 0.7500
Mn2 Mn 0.1587 0.1582 0.7500
```



3.
Here is an optimized crystal structure of Mn2TlBi from Alexandria via LeMat-Bulk. Energies are from PBE.

Offset from the most stable computed form, meV/atom: 0
Energy relative to the elements, eV/atom: 0.62
VASP energy, eV per cell: -88.5

```
data_Mn2TlBi
_symmetry_space_group_name_H-M 'I -4 2 d'
_symmetry_Int_Tables_number 122
_symmetry_space_group_name_Hall 'I -4 2bw'
_cell_length_a 7.6529
_cell_length_b 7.6529
_cell_length_c 6.4635
_cell_angle_alpha 90.00
_cell_angle_beta 90.00
_cell_angle_gamma 90.00
loop_
_atom_site_label
_atom_site_type_symbol
_atom_site_fract_x
_atom_site_fract_y
_atom_site_fract_z
Mn1 Mn 0.2488 0.2500 0.1250
Tl1 Tl 0.0000 0.0000 0.0000
Bi1 Bi 0.0000 0.0000 0.5000
```